Entry 1:
VASP calculation (PBE) on BeHgS2 after structural relaxation.

The calculation puts the energy relative to the lowest polymorph listed for this composition at 1.27 eV per formula unit. The calculation puts the density of states at the Fermi level at 5.3 states/eV/cell. The calculation puts the formation energy without anion corrections at -0.96 eV per formula unit.

The structure belongs to space group Cmcm (No. 63); the cell edges are 3.365, 25.197 and 4.015 Å and the angles 90.00°, 90.00° and 90.00°. The asymmetric unit holds Be at (0.000, 0.167, 0.250), Hg at (0.000, 0.457, 0.250), S at (0.000, 0.248, 0.250) and S at (0.000, 0.375, 0.750).

Entry 2:
VASP calculation (PBE) on SrRhPb2 after structural relaxation.

The calculation puts the density of states at the Fermi level at 8.5 states/eV/cell. The energy of formation comes out at -290 meV/atom.

The structure belongs to space group C2/m (No. 12); the cell edges are 8.034, 4.625 and 6.496 Å and the angles 90.00°, 114.21° and 90.00°. The asymmetric unit holds Sr at (0.000, 0.000, 0.000), Rh at (0.000, 0.500, 0.500) and Pb at (0.221, 0.000, 0.662).

Entry 3:
VASP calculation (PBE) on InSnPdAu after structural relaxation.

The calculation puts the density of states at the Fermi level at 9.9 states/eV/cell. The energy of formation comes out at -184 meV/atom.

The structure belongs to space group F-43m (No. 216); the cell edges are 6.864, 6.864 and 6.864 Å and the angles 90.00°, 90.00° and 90.00°. The asymmetric unit holds In at (0.000, 0.000, 0.000), Sn at (0.000, 0.000, 0.500), Pd at (0.250, 0.250, 0.250) and Au at (0.250, 0.250, 0.750).

Entry 4:
VASP calculation (PBE) on Mo2As after structural relaxation.

The calculation puts the energy relative to the lowest polymorph listed for this composition at 1.50 eV per formula unit. The calculation puts the density of states at the Fermi level at 21.1 states/eV/cell. The energy of formation comes out at 468 meV/atom.

The structure belongs to space group Fm-3m (No. 225); the cell edges are 5.933, 5.933 and 5.933 Å and the angles 90.00°, 90.00° and 90.00°. The asymmetric unit holds Mo at (0.250, 0.250, 0.250) and As at (0.000, 0.000, 0.000).